{"formula": "TmBi2SbO8", "functional": "PBE", "state": "optimized geometry", "lattice_angstrom": [[-1.017, 2.650, 4.165], [-4.471, 1.325, -1.909], [-2.871, -5.583, 2.852]], "species": ["Tm", "Bi", "Bi", "Sb", "O", "O", "O", "O", "O", "O", "O", "O"], "fractional_positions": [[0.000, 0.000, 0.500], [0.500, 0.500, 0.753], [0.500, 0.500, 0.247], [0.000, 0.000, 0.000], [0.182, 0.818, 0.227], [0.714, 0.715, 0.000], [0.818, 0.182, 0.227], [0.818, 0.182, 0.773], [0.286, 0.285, 0.000], [0.182, 0.818, 0.773], [0.690, 0.690, 0.500], [0.310, 0.310, 0.500]], "e_form_raw_ev_per_atom": -1.656, "m_tot_mub_per_atom": 0.00}

{"formula": "HgC2", "functional": "PBE", "state": "optimized geometry", "lattice_angstrom": [[-2.578, -1.877, 1.467], [0.587, -0.224, -3.453], [2.622, -3.096, 0.646]], "species": ["C", "C", "Hg"], "fractional_positions": [[0.000, 0.000, 0.845], [0.000, 0.000, 0.155], [0.333, 0.667, 0.500]], "m_tot_mub_per_atom": 0.00, "ef_kj_per_mol_fu": 514.4}